A plane-wave DFT calculation with GGA+U was carried out for TlFeIF2 after structural relaxation.

Cell: 6.4586 4.0551 9.4746 Å, 90.00 92.30 90.00°
Last column: nearest neighbours and their distance in Å.
Positions (direct):
Tl 0.2295 0.2500 0.4347  3 F 2.69-2.83
Tl 0.7705 0.7500 0.5653  3 F 2.69-2.83
Fe 0.4556 0.2500 0.8597  4 F 2.01-2.23
Fe 0.5444 0.7500 0.1403  4 F 2.01-2.23
I 0.0388 0.2500 0.8073  1 Fe 2.72
I 0.9612 0.7500 0.1927  1 Fe 2.72
F 0.4637 0.7500 0.3432  1 Fe 2.01
F 0.4833 0.2500 0.0946  3 Fe 2.11-2.23
F 0.5167 0.7500 0.9054  3 Fe 2.11-2.23
F 0.5363 0.2500 0.6568  1 Fe 2.01

Output
V: 248 Å³ per cell
VASP energy: -4.219 eV/atom
DOS at the Fermi energy: 0.0 states/eV/cell